First-principles (GGA-PBEsol) data for In2AgCl after structural relaxation, as listed in Alexandria via LeMat-Bulk.

Structure (extended XYZ):
```
4
Lattice="5.0694 0.0000 0.0000 2.5347 4.3902 0.0000 2.5347 1.4634 4.1391" Properties=species:S:1:pos:R:3 pbc="T T T"
Ag 5.0694 2.9268 2.0696
In 0.0000 0.0000 0.0000
In 7.6041 4.3902 3.1044
Cl 2.5347 1.4634 1.0348
```

Formation energy (no corrections) in eV per atom: 0.015